Below is NiSnPb after structural relaxation, with properties calculated at the PBE level.

a = 4.560 Å, b = 4.560 Å, c = 4.560 Å
α = 60.00°, β = 60.00°, γ = 60.00°
Element x y z (fractional)
1 Pb 0.250 0.250 0.250
2 Sn 0.750 0.750 0.750
3 Ni 0.000 0.000 0.000

Summary:
space group = F-43m, No. 216

***

Below is Ni3Sn2Pb3 after structural relaxation, with properties calculated at the PBE level.

a = 7.315 Å, b = 7.315 Å, c = 3.814 Å
α = 90.00°, β = 90.00°, γ = 120.00°
Element x y z (fractional)
1 Pb 0.191 0.809 0.500
2 Pb 0.619 0.809 0.500
3 Sn 0.667 0.333 0.500
4 Pb 0.191 0.381 0.500
5 Ni 0.933 0.466 0.000
6 Ni 0.534 0.067 0.000
7 Ni 0.533 0.466 0.000
8 Sn 0.000 0.000 0.000

Summary:
space group = P-6m2, No. 187

***

Below is Zr2Ni2SnPb after structural relaxation, with properties calculated at the PBE level.

a = 10.573 Å, b = 4.325 Å, c = 10.709 Å
α = 90.00°, β = 98.00°, γ = 90.00°
Element x y z (fractional)
1 Ni 0.455 0.500 0.160
2 Pb 0.735 0.000 0.816
3 Zr 0.027 0.000 0.934
4 Sn 0.410 0.500 0.772
5 Ni 0.023 0.500 0.498
6 Ni 0.350 0.500 0.528
7 Sn 0.536 0.500 0.400
8 Sn 0.107 0.500 0.742
9 Ni 0.240 0.000 0.819
10 Zr 0.662 0.500 0.997
11 Ni 0.685 0.000 0.477
12 Zr 0.244 0.500 0.288
13 Pb 0.198 0.000 0.492
14 Zr 0.491 0.000 0.596
15 Ni 0.797 0.000 0.091
16 Sn 0.448 0.000 0.979
17 Ni 0.895 0.500 0.839
18 Pb 0.962 0.500 0.121
19 Zr 0.248 0.500 0.003
20 Zr 0.952 0.000 0.616
21 Zr 0.751 0.500 0.610
22 Zr 0.596 0.000 0.225
23 Pb 0.886 0.000 0.338
24 Ni 0.300 0.000 0.159

Summary:
space group = Pm, No. 6

***

Below is SrNiPb2 after structural relaxation, with properties calculated at the PBE level.

a = 5.329 Å, b = 5.329 Å, c = 5.329 Å
α = 60.00°, β = 60.00°, γ = 60.00°
Element x y z (fractional)
1 Ni 0.250 0.250 0.250
2 Pb 0.750 0.750 0.750
3 Pb 0.000 0.000 0.000
4 Sr 0.500 0.500 0.500

Summary:
space group = F-43m, No. 216

***

Below is Sr2Ni3Pb2 after structural relaxation, with properties calculated at the PBE level.

a = 8.624 Å, b = 8.624 Å, c = 8.624 Å
α = 32.27°, β = 32.27°, γ = 32.27°
Element x y z (fractional)
1 Pb 0.508 0.508 0.508
2 Sr 0.246 0.246 0.246
3 Pb 0.997 0.997 0.997
4 Sr 0.755 0.755 0.755
5 Ni 0.880 0.880 0.880
6 Ni 0.627 0.627 0.627
7 Ni 0.362 0.362 0.362

Summary:
space group = R3m, No. 160

***

Below is Ta4Ni5Pb5 after structural relaxation, with properties calculated at the PBE level.

a = 6.073 Å, b = 7.420 Å, c = 7.420 Å
α = 80.36°, β = 114.16°, γ = 114.16°
Element x y z (fractional)
1 Ta 0.205 0.797 0.601
2 Pb 0.287 0.190 0.363
3 Pb 0.500 0.000 0.000
4 Pb 0.903 0.637 0.190
5 Ni 0.387 0.892 0.325
6 Ta 0.396 0.601 0.203
7 Ni 0.506 0.675 0.892
8 Pb 0.076 0.363 0.810
9 Ta 0.592 0.399 0.797
10 Ni 0.170 0.108 0.675
11 Ta 0.807 0.203 0.399
12 Pb 0.734 0.810 0.637
13 Ni 0.938 0.325 0.108
14 Ni 0.750 0.500 0.500

Summary:
space group = I-4, No. 82

***

Below is TaTcNiPb after structural relaxation, with properties calculated at the PBE level.

a = 4.548 Å, b = 4.548 Å, c = 4.548 Å
α = 60.00°, β = 60.00°, γ = 60.00°
Element x y z (fractional)
1 Ni 0.750 0.750 0.750
2 Tc 0.250 0.250 0.250
3 Ta 0.500 0.500 0.500
4 Pb 0.000 0.000 0.000

Summary:
space group = F-43m, No. 216

***

Below is TaTcNiPb after structural relaxation, with properties calculated at the PBE level.

a = 4.573 Å, b = 4.573 Å, c = 4.573 Å
α = 60.00°, β = 60.00°, γ = 60.00°
Element x y z (fractional)
1 Tc 0.500 0.500 0.500
2 Ni 0.750 0.750 0.750
3 Pb 0.000 0.000 0.000
4 Ta 0.250 0.250 0.250

Summary:
space group = F-43m, No. 216

***

Number 1: raw total energy -13.31 eV/f.u.. Number 2: raw total energy -33.76 eV/f.u.. Number 3: raw total energy -37.06 eV/f.u.. Number 4: raw total energy -14.33 eV/f.u.. Number 5: raw total energy -27.52 eV/f.u.. Number 6: raw total energy -92.11 eV/f.u.. Number 7: raw total energy -30.42 eV/f.u.. Number 8: raw total energy -29.27 eV/f.u..